(1)
The following is a PBE-GGA calculation of a relaxed structure of KMn3Br9, from Alexandria via LeMat-Bulk.

Computed properties:
Energy relative to the elements, uncorrected, eV per atom: -0.785
Density of states at the Fermi level, states/eV/f.u.: 1.8

a b c (Å): 9.154 11.357 12.087
angles (deg): 80.16 67.75 66.23
Site moments in Bohr magnetons follow the coordinates.
Fractional coordinates of all 26 atoms:
K: 0.030 0.493 0.000  0.00
K: 0.477 0.993 0.500  0.00
Mn: 0.819 0.538 0.678  3.72
Mn: 0.964 0.038 0.178  3.72
Mn: 0.020 0.954 0.841  4.06
Mn: 0.185 0.454 0.341  4.06
Mn: 0.617 0.271 0.711  3.84
Mn: 0.401 0.771 0.211  3.84
Br: 0.366 0.233 0.309  0.03
Br: 0.092 0.733 0.809  0.03
Br: 0.445 0.295 0.915  0.05
Br: 0.346 0.795 0.415  0.05
Br: 0.232 0.045 0.785  0.06
Br: 0.938 0.545 0.285  0.06
Br: 0.637 0.736 0.031  0.02
Br: 0.596 0.236 0.531  0.02
Br: 0.914 0.891 0.336  0.04
Br: 0.858 0.391 0.836  0.04
Br: 0.718 0.762 0.646  0.03
Br: 0.874 0.262 0.146  0.03
Br: 0.397 0.555 0.215  0.01
Br: 0.833 0.055 0.715  0.01
Br: 0.590 0.501 0.651  0.01
Br: 0.259 0.001 0.151  0.01
Br: 0.837 0.983 0.060  0.02
Br: 0.121 0.483 0.560  0.02

=====

(2)
The following is a PBE-GGA calculation of a relaxed structure of Nd3HPt, from Alexandria via LeMat-Bulk.

Computed properties:
Total DFT energy (no corrections), eV per cell: -53.38
Density of states at the Fermi level, states/eV/f.u.: 4.7

a b c (Å): 3.907 7.205 8.791
angles (deg): 101.54 90.00 90.00
Fractional coordinates of all 10 atoms:
Nd: 0.750 0.596 0.359
Nd: 0.250 0.404 0.641
Nd: 0.750 0.244 0.953
Nd: 0.250 0.916 0.649
Nd: 0.250 0.756 0.047
Nd: 0.750 0.084 0.351
H: 0.250 0.838 0.349
H: 0.750 0.162 0.651
Pt: 0.250 0.307 0.202
Pt: 0.750 0.693 0.798

=====

(3)
The following is a PBE-GGA calculation of a relaxed structure of Ti2AlAg2, from Alexandria via LeMat-Bulk.

Computed properties:
Density of states at the Fermi level, states/eV/f.u.: 4.4
Energy above the most stable polymorph in this dataset, eV per formula unit: 1.22
ΔH_f (0 K), eV per atom: 0.356

a b c (Å): 3.810 3.810 7.120
angles (deg): 74.48 74.48 90.00
Site moments in Bohr magnetons follow the coordinates.
Fractional coordinates of all 5 atoms:
Al: 0.000 0.000 0.000  -0.02
Ag: 0.750 0.250 0.500  0.04
Ag: 0.250 0.750 0.500  0.04
Ti: 0.414 0.414 0.172  0.85
Ti: 0.586 0.586 0.828  0.85

=====

(4)
The following is a PBE-GGA calculation of a relaxed structure of LaTl2Zn2Te4, from Alexandria via LeMat-Bulk.

Computed properties:
Energy relative to the elements, uncorrected, eV per atom: -0.626
Density of states at the Fermi level, states/eV/f.u.: 2.2

a b c (Å): 4.426 8.576 8.394
angles (deg): 106.19 105.29 90.00
Fractional coordinates of all 9 atoms:
La: 0.000 0.000 0.000
Tl: 0.130 0.546 0.260
Tl: 0.870 0.454 0.740
Zn: 0.668 0.982 0.335
Zn: 0.332 0.018 0.665
Te: 0.209 0.182 0.418
Te: 0.791 0.818 0.582
Te: 0.517 0.739 0.034
Te: 0.483 0.261 0.966

=====

(5)
The following is a PBE-GGA calculation of a relaxed structure of NiMo2Rh7, from Alexandria via LeMat-Bulk.

Computed properties:
Density of states at the Fermi level, states/eV/f.u.: 17.5
ΔH_f (0 K), eV per atom: 0.391

a b c (Å): 2.683 8.548 8.548
angles (deg): 124.12 90.00 90.00
Site moments in Bohr magnetons follow the coordinates.
Fractional coordinates of all 10 atoms:
Ni: 0.000 0.000 0.000  0.39
Mo: 0.500 0.672 0.328  -0.03
Mo: 0.500 0.328 0.672  -0.03
Rh: 0.000 0.818 0.182  0.04
Rh: 0.000 0.182 0.818  0.04
Rh: 0.500 0.133 0.320  0.09
Rh: 0.500 0.867 0.680  0.09
Rh: 0.500 0.320 0.133  0.09
Rh: 0.500 0.680 0.867  0.09
Rh: 0.500 0.500 0.500  0.07

=====

(6)
The following is a PBE-GGA calculation of a relaxed structure of CePaO2, from Alexandria via LeMat-Bulk.

Computed properties:
Energy relative to the elements, uncorrected, eV per atom: -1.836
Density of states at the Fermi level, states/eV/f.u.: 8.8
Energy above the most stable polymorph in this dataset, eV per formula unit: 2.91

a b c (Å): 3.093 3.093 6.232
angles (deg): 90.00 90.00 90.00
Site moments in Bohr magnetons follow the coordinates.
Fractional coordinates of all 4 atoms:
Pa: 0.500 0.500 0.000  1.24
O: 0.000 0.000 0.770  -0.02
O: 0.000 0.000 0.230  -0.02
Ce: 0.500 0.500 0.500  1.20

=====

(7)
The following is a PBE-GGA calculation of a relaxed structure of AcPrTeAu, from Alexandria via LeMat-Bulk.

Computed properties:
Energy relative to the elements, uncorrected, eV per atom: -1.083
Density of states at the Fermi level, states/eV/f.u.: 4.9
Energy above the most stable polymorph in this dataset, eV per formula unit: 0.00

a b c (Å): 4.441 4.441 8.312
angles (deg): 74.51 74.51 60.00
Fractional coordinates of all 4 atoms:
Ac: 0.506 0.506 0.481
Pr: 0.994 0.994 0.017
Te: 0.745 0.745 0.764
Au: 0.254 0.254 0.238

=====

(8)
The following is a PBE-GGA calculation of a relaxed structure of Zr2CoPdS, from Alexandria via LeMat-Bulk.

Computed properties:
Energy relative to the elements, uncorrected, eV per atom: -0.078
Density of states at the Fermi level, states/eV/f.u.: 5.6

a b c (Å): 4.885 3.982 4.885
angles (deg): 90.00 90.00 90.00
Fractional coordinates of all 5 atoms:
S: 0.000 0.500 0.000
Co: 0.000 0.000 0.000
Zr: 0.000 0.000 0.500
Zr: 0.500 0.000 0.000
Pd: 0.500 0.500 0.500

=====

(9)
The following is a PBE-GGA calculation of a relaxed structure of La3Nd12Hg, from Alexandria via LeMat-Bulk.

Computed properties:
Density of states at the Fermi level, states/eV/f.u.: 23.2
ΔH_f (0 K), eV per atom: -0.019

a b c (Å): 5.139 5.139 20.810
angles (deg): 90.00 90.00 90.00
Fractional coordinates of all 16 atoms:
La: 0.000 0.000 0.245
La: 0.000 0.000 0.500
La: 0.000 0.000 0.755
Nd: 0.500 0.500 0.000
Nd: 0.500 0.500 0.242
Nd: 0.500 0.500 0.500
Nd: 0.500 0.500 0.758
Nd: 0.500 0.000 0.118
Nd: 0.500 0.000 0.373
Nd: 0.500 0.000 0.627
Nd: 0.500 0.000 0.882
Nd: 0.000 0.500 0.118
Nd: 0.000 0.500 0.373
Nd: 0.000 0.500 0.627
Nd: 0.000 0.500 0.882
Hg: 0.000 0.000 0.000

=====

(10)
The following is a PBE-GGA calculation of a relaxed structure of Ac3TlTe2, from Alexandria via LeMat-Bulk.

Computed properties:
Energy relative to the elements, uncorrected, eV per atom: -1.132
Density of states at the Fermi level, states/eV/f.u.: 2.8

a b c (Å): 8.252 8.284 8.284
angles (deg): 119.58 99.76 99.76
Fractional coordinates of all 12 atoms:
Ac: 0.003 0.176 0.338
Ac: 0.503 0.338 0.176
Ac: 0.000 0.500 0.000
Ac: 0.997 0.824 0.662
Ac: 0.500 0.000 0.500
Ac: 0.497 0.662 0.824
Tl: 0.250 0.587 0.413
Tl: 0.750 0.413 0.587
Te: 0.250 0.917 0.083
Te: 0.250 0.246 0.754
Te: 0.750 0.083 0.917
Te: 0.750 0.754 0.246

=====

(11)
The following is a PBE-GGA calculation of a relaxed structure of AcLaTh2Se4, from Alexandria via LeMat-Bulk.

Computed properties:
Energy relative to the elements, uncorrected, eV per atom: -1.716
Density of states at the Fermi level, states/eV/f.u.: 5.5

a b c (Å): 4.308 7.475 7.374
angles (deg): 70.46 90.00 90.00
Fractional coordinates of all 8 atoms:
Ac: 0.500 0.500 0.000
La: 0.000 0.500 0.500
Th: 0.000 0.000 0.000
Th: 0.500 0.000 0.500
Se: 0.000 0.761 0.742
Se: 0.000 0.239 0.258
Se: 0.500 0.758 0.251
Se: 0.500 0.242 0.749

=====

(12)
The following is a PBE-GGA calculation of a relaxed structure of PmNd2WN4, from Alexandria via LeMat-Bulk.

Computed properties:
Energy relative to the elements, uncorrected, eV per atom: -0.938
Density of states at the Fermi level, states/eV/f.u.: 2.8

a b c (Å): 3.453 6.313 12.489
angles (deg): 90.00 90.00 105.87
Fractional coordinates of all 16 atoms:
Pm: 0.088 0.176 0.750
Pm: 0.912 0.824 0.250
Nd: 0.369 0.738 0.538
Nd: 0.631 0.262 0.038
Nd: 0.631 0.262 0.462
Nd: 0.369 0.738 0.962
W: 0.829 0.657 0.750
W: 0.171 0.343 0.250
N: 0.269 0.539 0.132
N: 0.731 0.461 0.632
N: 0.731 0.461 0.868
N: 0.269 0.539 0.368
N: 0.000 0.000 0.500
N: 0.000 0.000 0.000
N: 0.433 0.866 0.750
N: 0.567 0.134 0.250

=====

(13)
The following is a PBE-GGA calculation of a relaxed structure of Pr12Zn3C5, from Alexandria via LeMat-Bulk.

Computed properties:
Density of states at the Fermi level, states/eV/f.u.: 20.9
ΔH_f (0 K), eV per atom: 0.079

a b c (Å): 14.199 14.199 14.199
angles (deg): 109.47 109.47 109.47
Fractional coordinates of all 80 atoms:
Pr: 0.704 0.115 0.022
Pr: 0.318 0.522 0.407
Pr: 0.978 0.385 0.296
Pr: 0.522 0.204 0.115
Pr: 0.589 0.704 0.682
Pr: 0.978 0.593 0.182
Pr: 0.318 0.796 0.411
Pr: 0.093 0.911 0.115
Pr: 0.593 0.978 0.682
Pr: 0.704 0.589 0.182
Pr: 0.796 0.478 0.385
Pr: 0.818 0.907 0.022
Pr: 0.115 0.704 0.522
Pr: 0.385 0.407 0.089
Pr: 0.089 0.907 0.385
Pr: 0.411 0.115 0.593
Pr: 0.089 0.182 0.204
Pr: 0.478 0.682 0.093
Pr: 0.818 0.911 0.296
Pr: 0.115 0.411 0.093
Pr: 0.385 0.978 0.796
Pr: 0.593 0.615 0.411
Pr: 0.907 0.818 0.522
Pr: 0.796 0.318 0.911
Pr: 0.407 0.385 0.589
Pr: 0.093 0.182 0.478
Pr: 0.204 0.682 0.089
Pr: 0.182 0.089 0.704
Pr: 0.615 0.022 0.204
Pr: 0.885 0.589 0.907
Pr: 0.522 0.318 0.907
Pr: 0.589 0.885 0.407
Pr: 0.911 0.818 0.796
Pr: 0.911 0.093 0.615
Pr: 0.885 0.296 0.478
Pr: 0.182 0.093 0.978
Pr: 0.615 0.593 0.911
Pr: 0.407 0.022 0.318
Pr: 0.296 0.411 0.818
Pr: 0.204 0.522 0.615
Pr: 0.907 0.089 0.885
Pr: 0.682 0.204 0.589
Pr: 0.478 0.796 0.885
Pr: 0.022 0.407 0.818
Pr: 0.411 0.296 0.318
Pr: 0.022 0.615 0.704
Pr: 0.682 0.478 0.593
Pr: 0.296 0.885 0.978
Zn: 0.750 0.375 0.125
Zn: 0.875 0.750 0.125
Zn: 0.375 0.750 0.625
Zn: 0.250 0.125 0.375
Zn: 0.875 0.125 0.250
Zn: 0.375 0.625 0.250
Zn: 0.625 0.375 0.750
Zn: 0.125 0.875 0.750
Zn: 0.750 0.875 0.625
Zn: 0.625 0.250 0.375
Zn: 0.125 0.250 0.875
Zn: 0.250 0.625 0.875
C: 0.125 0.375 0.250
C: 0.000 0.500 0.000
C: 0.000 0.000 0.000
C: 0.375 0.250 0.125
C: 0.500 0.000 0.500
C: 0.500 0.500 0.000
C: 0.125 0.750 0.375
C: 0.750 0.125 0.875
C: 0.750 0.625 0.375
C: 0.375 0.125 0.750
C: 0.625 0.875 0.250
C: 0.500 0.500 0.500
C: 0.500 0.000 0.000
C: 0.000 0.000 0.500
C: 0.250 0.375 0.625
C: 0.250 0.875 0.125
C: 0.000 0.500 0.500
C: 0.875 0.250 0.625
C: 0.625 0.750 0.875
C: 0.875 0.625 0.750

=====

(14)
The following is a PBE-GGA calculation of a relaxed structure of TaAs2Cl2, from Alexandria via LeMat-Bulk.

Computed properties:
Energy relative to the elements, uncorrected, eV per atom: 0.718
Density of states at the Fermi level, states/eV/f.u.: 4.4
Energy above the most stable polymorph in this dataset, eV per formula unit: 2.39

a b c (Å): 8.113 8.113 2.963
angles (deg): 90.00 90.00 90.00
Fractional coordinates of all 10 atoms:
As: 0.195 0.695 0.500
As: 0.695 0.805 0.500
As: 0.805 0.305 0.500
As: 0.305 0.195 0.500
Cl: 0.376 0.876 0.000
Cl: 0.876 0.624 0.000
Cl: 0.624 0.124 0.000
Cl: 0.124 0.376 0.000
Ta: 0.000 0.000 0.000
Ta: 0.500 0.500 0.000

=====

(15)
The following is a PBE-GGA calculation of a relaxed structure of LiTi2BeFe, from Alexandria via LeMat-Bulk.

Computed properties:
Density of states at the Fermi level, states/eV/f.u.: 6.5
ΔH_f (0 K), eV per atom: 0.806

a b c (Å): 4.398 3.706 4.398
angles (deg): 90.00 90.00 90.00
Fractional coordinates of all 5 atoms:
Be: 0.000 0.000 0.000
Li: 0.000 0.500 0.000
Fe: 0.500 0.500 0.500
Ti: 0.000 0.000 0.500
Ti: 0.500 0.000 0.000

=====

(16)
The following is a PBE-GGA calculation of a relaxed structure of Ga2GeAu8, from Alexandria via LeMat-Bulk.

Computed properties:
Density of states at the Fermi level, states/eV/f.u.: 3.3
ΔH_f (0 K), eV per atom: -0.049

a b c (Å): 3.169 8.219 8.006
angles (deg): 87.06 101.42 90.00
Fractional coordinates of all 11 atoms:
Ge: 0.500 0.000 0.000
Au: 0.595 0.470 0.191
Au: 0.345 0.878 0.689
Au: 0.246 0.353 0.491
Au: 0.017 0.731 0.034
Au: 0.754 0.647 0.509
Au: 0.655 0.122 0.311
Au: 0.405 0.530 0.809
Au: 0.983 0.269 0.966
Ga: 0.165 0.861 0.331
Ga: 0.835 0.139 0.669